No. 1
VASP calculation (PBE) on a relaxed BaBe3 crystal.

Lattice parameters (Å, degrees): 6.264 6.264 6.264 35.28 35.28 35.28
Element x y z (fractional)
Ba1 0.000 0.000 0.000
Be1 0.177 0.177 0.177
Be2 0.500 0.500 0.500
Be3 0.823 0.823 0.823

Results
SG: R-3m
DOS at the Fermi energy in states/eV/cell: 2.10
Energy of formation in kcal/mol of atoms: 4.50

No. 2
VASP calculation (PBE) on a relaxed BaBe crystal.

Lattice parameters (Å, degrees): 8.695 7.744 8.449 90.00 90.00 90.00
Element x y z (fractional)
Ba1 0.113 0.250 0.202
Ba2 0.229 0.250 0.690
Ba3 0.271 0.750 0.190
Ba4 0.387 0.750 0.702
Ba5 0.613 0.250 0.298
Ba6 0.729 0.250 0.810
Ba7 0.771 0.750 0.310
Ba8 0.887 0.750 0.798
Be1 0.072 0.608 0.494
Be2 0.072 0.892 0.494
Be3 0.428 0.108 0.994
Be4 0.428 0.392 0.994
Be5 0.572 0.608 0.006
Be6 0.572 0.892 0.006
Be7 0.928 0.108 0.506
Be8 0.928 0.392 0.506

Results
SG: Pnma
DOS at the Fermi energy in states/eV/cell: 13.17
Energy of formation in kcal/mol of atoms: 9.72

| no. | energy above the lowest structure with this stoichiometry (meV per atom) | mass density (g/cm³) |
| --- | --- | --- |
| 1 | 13 | 3.726 |
| 2 | 61 | 3.417 |